Ba2NaLi | PBE | relaxed

Cell lengths 9.1145, 9.1145, 9.1145 Å; angles 90.00, 90.00, 90.00 degrees
Space group Fm-3m (No. 225)
Asymmetric unit:
Ba (0.2500, 0.2500, 0.2500) [8 per cell]
Na (0.0000, 0.0000, 0.0000) [4 per cell]
Li (0.0000, 0.0000, 0.5000) [4 per cell]

Output
Excess energy over the best structure of this formula in the dataset: 10 meV/atom
Mass density: 2672 kg/m3
N(E_F): 28.40 states/eV per cell
Formation energy: 0.037 eV per atom